The following is a PBE calculation of crystalline Ga3Cu4Au2 at its relaxed geometry, from Alexandria.

a b c (Å): 8.158 8.158 4.808
angles (deg): 99.06 99.06 112.00
Element x y z (fractional)
Ga (0.145, 0.855, 0.750)
Ga (0.211, 0.472, 0.360)
Ga (0.472, 0.211, 0.860)
Ga (0.528, 0.789, 0.140)
Ga (0.789, 0.528, 0.640)
Ga (0.855, 0.145, 0.250)
Cu (0.135, 0.150, 0.008)
Cu (0.150, 0.135, 0.508)
Cu (0.339, 0.450, 0.876)
Cu (0.450, 0.339, 0.376)
Cu (0.550, 0.661, 0.624)
Cu (0.661, 0.550, 0.124)
Cu (0.850, 0.865, 0.492)
Cu (0.865, 0.850, 0.992)
Au (0.020, 0.648, 0.233)
Au (0.352, 0.980, 0.267)
Au (0.648, 0.020, 0.733)
Au (0.980, 0.352, 0.767)

Properties
As for the energy relative to the elements: -0.0542 eV per atom. As for the energy above the most stable polymorph in this dataset: 0 meV per atom. Its raw total energy is -3.6120 eV per atom.